Model P:
HfGeSb3 PBE-GGA optimized geometry; D(E_F) = 4.56 states/eV/f.u.; theoretical density = 7.192 g/cm³
1.0
5.2211 0.0000 0.0000
0.0000 5.2211 0.0000
0.0000 0.0000 5.2211
Hf Ge Sb
1 1 3
direct
0.0000 0.0000 0.0000
0.5000 0.5000 0.5000
0.0000 0.5000 0.5000
0.5000 0.0000 0.5000
0.5000 0.5000 0.0000

=====

Model Q:
HfGeSb3 PBE-GGA optimized geometry; D(E_F) = 3.78 states/eV/f.u.; theoretical density = 6.188 g/cm³
1.0
5.4895 0.0000 0.0000
0.0000 5.4895 0.0000
0.0000 0.0000 5.4895
Hf Ge Sb
1 1 3
direct
0.0000 0.0000 0.0000
0.5000 0.5000 0.5000
0.0000 0.0000 0.5000
0.0000 0.5000 0.0000
0.5000 0.0000 0.0000

=====

Q: Which of them is the least stable? A: model P.

=====

Model P:
HfGeSb2Te PBE-GGA optimized geometry; D(E_F) = 5.04 states/eV/f.u.; theoretical density = 6.174 g/cm³
1.0
5.5380 0.0000 0.0000
0.0000 5.5380 0.0000
0.0000 0.0000 5.4566
Hf Ge Sb Te
1 1 2 1
direct
0.0000 0.0000 0.0000
0.5000 0.5000 0.5000
0.0000 0.5000 0.0000
0.5000 0.0000 0.0000
0.0000 0.0000 0.5000

=====

Model Q:
HfGeSb2Te PBE-GGA optimized geometry; D(E_F) = 3.28 states/eV/f.u.; theoretical density = 7.218 g/cm³
1.0
5.2245 0.0000 0.0000
0.0000 5.2245 0.0000
0.0000 0.0000 5.2443
Hf Ge Sb Te
1 1 2 1
direct
0.0000 0.0000 0.0000
0.5000 0.5000 0.5000
0.0000 0.5000 0.5000
0.5000 0.0000 0.5000
0.5000 0.5000 0.0000

=====

Q: Which of them is the least stable? A: model Q.

=====

Model P:
HfZnGeSb2 PBE-GGA optimized geometry; D(E_F) = 3.89 states/eV/f.u.; theoretical density = 5.971 g/cm³
1.0
5.4865 0.0000 0.0000
0.0000 5.4865 0.0000
0.0000 0.0000 5.1743
Hf Zn Ge Sb
1 1 1 2
direct
0.0000 0.0000 0.0000
0.0000 0.0000 0.5000
0.5000 0.5000 0.5000
0.0000 0.5000 0.0000
0.5000 0.0000 0.0000

=====

Model Q:
HfZnGeSb2 PBE-GGA optimized geometry; D(E_F) = 1.78 states/eV/f.u.; theoretical density = 7.031 g/cm³
1.0
5.0576 0.0000 0.0000
0.0000 5.0576 0.0000
0.0000 0.0000 5.1712
Hf Zn Ge Sb
1 1 1 2
direct
0.0000 0.0000 0.0000
0.0000 0.0000 0.5000
0.5000 0.5000 0.0000
0.0000 0.5000 0.5000
0.5000 0.0000 0.5000

=====

Q: Which of them is the least stable? A: model Q.

=====

Model P:
HfSc3Ge PBE-GGA optimized geometry; D(E_F) = 4.59 states/eV/f.u.; theoretical density = 4.704 g/cm³
1.0
5.1460 0.0000 0.0000
0.0000 5.1460 0.0000
0.0000 0.0000 5.1460
Hf Sc Ge
1 3 1
direct
0.0000 0.0000 0.0000
0.0000 0.0000 0.5000
0.0000 0.5000 0.0000
0.5000 0.0000 0.0000
0.5000 0.5000 0.5000

=====

Model Q:
HfSc3Ge PBE-GGA optimized geometry; D(E_F) = 6.53 states/eV/f.u.; theoretical density = 4.944 g/cm³
1.0
5.0612 0.0000 0.0000
0.0000 5.0612 0.0000
0.0000 0.0000 5.0612
Hf Sc Ge
1 3 1
direct
0.0000 0.0000 0.0000
0.0000 0.5000 0.5000
0.5000 0.0000 0.5000
0.5000 0.5000 0.0000
0.5000 0.5000 0.5000

=====

Q: Which of them is the least stable? A: model P.

=====

Model P:
Hf2GeSe PBE-GGA optimized geometry; D(E_F) = 0.50 states/eV/f.u.; theoretical density = 10.444 g/cm³
1.0
1.8678 1.0784 6.6909
-1.8678 1.0784 6.6909
0.0000 -2.1567 6.6909
Hf Ge Se
2 1 1
direct
0.0000 0.0000 0.0000
0.1819 0.1819 0.1819
0.5922 0.5922 0.5922
0.4234 0.4234 0.4234

=====

Model Q:
Hf2GeSe PBE-GGA optimized geometry; D(E_F) = 1.45 states/eV/f.u.; theoretical density = 10.322 g/cm³
1.0
1.9323 1.1156 6.3259
-1.9323 1.1156 6.3259
0.0000 -2.2312 6.3259
Hf Ge Se
2 1 1
direct
0.2404 0.2404 0.2404
0.7596 0.7596 0.7596
0.5000 0.5000 0.5000
0.0000 0.0000 0.0000

=====

Model R:
Hf2GeSe PBE-GGA optimized geometry; D(E_F) = 2.45 states/eV/f.u.; theoretical density = 7.774 g/cm³
1.0
-2.9980 2.9980 6.0431
2.9980 -2.9980 6.0431
2.9980 2.9980 -6.0431
Hf Ge Se
4 2 2
direct
0.1175 0.6250 0.9925
0.3750 0.3675 0.4925
0.6325 0.1250 0.0075
0.8750 0.8825 0.5075
0.0000 0.0000 0.0000
0.7500 0.2500 0.5000
0.2500 0.7500 0.5000
0.5000 0.5000 0.0000

=====

Q: Which of them is the least stable? A: model R.

=====

Model P:
HfGeSe3 PBE-GGA optimized geometry; theoretical density = 5.280 g/cm³
1.0
2.0685 -10.9448 0.0000
2.0685 10.9448 0.0000
0.0000 0.0000 6.7800
Hf Ge Se
2 2 6
direct
0.1155 0.8845 0.5000
0.8845 0.1155 0.0000
0.3304 0.6696 0.4117
0.6696 0.3304 0.9117
0.1179 0.8821 0.1364
0.2178 0.7822 0.6624
0.4343 0.5657 0.1633
0.5657 0.4343 0.6633
0.7822 0.2178 0.1624
0.8821 0.1179 0.6364

=====

Model Q:
HfGeSe3 PBE-GGA optimized geometry; D(E_F) = 2.64 states/eV/f.u.; theoretical density = 6.962 g/cm³
1.0
4.8825 0.0000 0.0000
0.0000 4.8825 0.0000
0.0000 0.0000 4.8825
Hf Ge Se
1 1 3
direct
0.0000 0.0000 0.0000
0.5000 0.5000 0.5000
0.0000 0.5000 0.5000
0.5000 0.0000 0.5000
0.5000 0.5000 0.0000

=====

Q: Which of them is the least stable? A: model Q.

=====

Model P:
HfGeSe3 PBE-GGA optimized geometry; D(E_F) = 3.27 states/eV/f.u.; theoretical density = 5.899 g/cm³
1.0
5.1597 0.0000 0.0000
0.0000 5.1597 0.0000
0.0000 0.0000 5.1597
Hf Ge Se
1 1 3
direct
0.0000 0.0000 0.0000
0.5000 0.5000 0.5000
0.0000 0.0000 0.5000
0.0000 0.5000 0.0000
0.5000 0.0000 0.0000

=====

Model Q:
HfGeSe3 PBE-GGA optimized geometry; theoretical density = 5.690 g/cm³
1.0
10.0166 0.0000 0.0000
0.0000 3.7809 0.0000
0.0000 0.0000 15.0431
Hf Ge Se
4 4 12
direct
0.1514 0.2500 0.0462
0.3486 0.7500 0.5462
0.6514 0.2500 0.4538
0.8486 0.7500 0.9538
0.0750 0.2500 0.6379
0.4250 0.7500 0.1379
0.5750 0.2500 0.8621
0.9250 0.7500 0.3621
0.0136 0.2500 0.8915
0.1824 0.2500 0.4820
0.2225 0.7500 0.7018
0.2775 0.2500 0.2018
0.3176 0.7500 0.9820
0.4864 0.7500 0.3915
0.5136 0.2500 0.6085
0.6824 0.2500 0.0180
0.7225 0.7500 0.7982
0.7775 0.2500 0.2982
0.8176 0.7500 0.5180
0.9864 0.7500 0.1085

=====

Q: Which of them is the least stable? A: model P.

=====

Model P:
Hf3SiGe PBE-GGA optimized geometry; D(E_F) = 3.44 states/eV/f.u.; theoretical density = 9.957 g/cm³
1.0
7.4676 0.0000 0.0000
0.0000 3.6988 0.0000
-0.5161 0.0000 7.6826
Hf Si Ge
6 2 2
direct
0.1115 0.2500 0.3415
0.3365 0.2500 0.9811
0.3811 0.7500 0.6278
0.6189 0.2500 0.3722
0.6635 0.7500 0.0189
0.8885 0.7500 0.6585
0.1401 0.2500 0.6842
0.8599 0.7500 0.3158
0.3635 0.7500 0.2502
0.6365 0.2500 0.7498

=====

Model Q:
Hf3SiGe PBE-GGA optimized geometry; D(E_F) = 3.93 states/eV/f.u.; theoretical density = 9.240 g/cm³
1.0
4.8535 0.0000 0.0000
0.0000 4.8535 0.0000
0.0000 0.0000 4.8535
Hf Si Ge
3 1 1
direct
0.0000 0.0000 0.5000
0.0000 0.5000 0.0000
0.5000 0.0000 0.0000
0.0000 0.0000 0.0000
0.5000 0.5000 0.5000

=====

Q: Which of them is the least stable? A: model Q.